[1]
Density functional theory data (PBE) for crystalline BaCa2Be at its relaxed geometry.

Results
Energy of formation from the pure elements   555 meV/atom
Total DFT energy (no corrections)   -14.86 eV for the cell shown
Calculated density   2.6 g/cm³
Magnetic moment   0.00 μB per cell

Cell and atoms, written as CIF:
```
data_BaCa2Be
_cell_length_a 7.125
_cell_length_b 12.325
_cell_length_c 3.841
_cell_angle_alpha 90.00
_cell_angle_beta 119.60
_cell_angle_gamma 90.00
_symmetry_space_group_name_H-M 'C 1 2/m 1'
_symmetry_Int_Tables_number 12
loop_
_symmetry_equiv_pos_as_xyz
'x,y,z'
'-x,-y,-z'
'-x,y,-z'
'x,-y,z'
'x+1/2,y+1/2,z'
'-x+1/2,-y+1/2,-z'
'-x+1/2,y+1/2,-z'
'x+1/2,-y+1/2,z'
loop_
_atom_site_label
_atom_site_type_symbol
_atom_site_fract_x
_atom_site_fract_y
_atom_site_fract_z
Ba1 Ba 0.000 0.000 0.000
Ca1 Ca 0.250 0.250 0.500
Be1 Be 0.000 0.500 0.000
```

=====

[2]
Density functional theory data (PBE) for crystalline Ni3Sn2Pt8 at its relaxed geometry.

Results
Energy of formation from the pure elements   -50 meV/atom
Total DFT energy (no corrections)   -148.66 eV for the cell shown
Calculated density   15.3 g/cm³
Magnetic moment   5.76 μB per cell

Cell and atoms, written as CIF:
```
data_Ni3Sn2Pt8
_cell_length_a 13.093
_cell_length_b 7.068
_cell_length_c 4.698
_cell_angle_alpha 90.00
_cell_angle_beta 98.67
_cell_angle_gamma 90.00
_symmetry_space_group_name_H-M 'C 1 2/m 1'
_symmetry_Int_Tables_number 12
loop_
_symmetry_equiv_pos_as_xyz
'x,y,z'
'-x,-y,-z'
'-x,y,-z'
'x,-y,z'
'x+1/2,y+1/2,z'
'-x+1/2,-y+1/2,-z'
'-x+1/2,y+1/2,-z'
'x+1/2,-y+1/2,z'
loop_
_atom_site_label
_atom_site_type_symbol
_atom_site_fract_x
_atom_site_fract_y
_atom_site_fract_z
Ni1 Ni 0.000 0.000 0.000
Ni2 Ni 0.000 0.175 0.500
Sn1 Sn 0.154 0.500 0.822
Pt1 Pt 0.056 0.500 0.282
Pt2 Pt 0.162 0.000 0.724
Pt3 Pt 0.175 0.197 0.232
```

=====

[3]
Density functional theory data (PBE) for crystalline Si2IrSe at its relaxed geometry.

Results
Total DFT energy (no corrections)   -66.26 eV for the cell shown
Calculated density   7.8 g/cm³
Magnetic moment   0.00 μB per cell
Uncorrected formation energy   0.2764 eV/atom

Cell and atoms, written as CIF:
```
data_Si2IrSe
_cell_length_a 2.8660
_cell_length_b 2.8660
_cell_length_c 29.3146
_cell_angle_alpha 90.00
_cell_angle_beta 90.00
_cell_angle_gamma 120.00
_symmetry_space_group_name_H-M 'R 3 m'
_symmetry_Int_Tables_number 160
_symmetry_space_group_name_Hall 'R 3 -2"'
loop_
_atom_site_label
_atom_site_type_symbol
_atom_site_fract_x
_atom_site_fract_y
_atom_site_fract_z
Si1 Si 0.0000 0.0000 0.0000
Si2 Si 0.0000 0.0000 0.2625
Ir1 Ir 0.0000 0.0000 0.7265
Se1 Se 0.0000 0.0000 0.4743
```